# CoAg2F8 | Alexandria via LeMat-Bulk | PBE+U | relaxed
# Total magnetic moment = 4.06 Bohr magnetons per cell
# E = -79.73 eV for the cell shown
# ρ = 4.71 Mg/m³
data_CoAg2F8
_chemical_formula_sum 'Co2 Ag4 F16'
_space_group_name_H-M_alt 'C 1 2/m 1'
_space_group_IT_number 12
_cell_length_a 9.138
_cell_length_b 7.146
_cell_length_c 4.608
_cell_angle_alpha 90.00
_cell_angle_beta 90.28
_cell_angle_gamma 90.00
loop_
_space_group_symop_operation_xyz
'x,y,z'
'-x,-y,-z'
'-x,y,-z'
'x,-y,z'
'x+1/2,y+1/2,z'
'-x+1/2,-y+1/2,-z'
'-x+1/2,y+1/2,-z'
'x+1/2,-y+1/2,z'
loop_
_atom_site_label
_atom_site_type_symbol
_atom_site_fract_x
_atom_site_fract_y
_atom_site_fract_z
Co1 Co 0.000 0.000 0.000
Ag1 Ag 0.139 0.500 0.246
F1 F 0.091 0.500 0.739
F2 F 0.110 0.178 0.174
F3 F 0.134 0.000 0.702